Record 1
The following is a DFT calculation (PBE) of In2HgSe after structural relaxation.

Size of the total moment (μB per formula unit): 0.0
Energy above the most stable polymorph in this dataset (meV per atom): 111
Calculated total energy (eV/atom): -2.455
Mass density (Mg/m³): 6.03

Cell: 7.0264 7.0264 11.3685 Å, 90.00 90.00 90.00°
With the nearest neighbours (Å) after each atom.
Positions (direct):
In1 0.2418 0.2500 0.1250  2 Se 2.83, 2 Hg 2.90
In2 0.2500 0.7418 0.3750  2 Se 2.83, 2 Hg 2.90
In3 0.2500 0.7582 0.8750  2 Se 2.83, 2 Hg 2.90
In4 0.2582 0.2500 0.6250  2 Se 2.83, 2 Hg 2.90
In5 0.7418 0.7500 0.6250  2 Se 2.83, 2 Hg 2.90
In6 0.7500 0.2418 0.8750  2 Se 2.83, 2 Hg 2.90
In7 0.7500 0.2582 0.3750  2 Se 2.83, 2 Hg 2.90
In8 0.7582 0.7500 0.1250  2 Se 2.83, 2 Hg 2.90
Hg1 0.0000 0.0000 0.5000  4 In 2.90
Hg2 0.0000 0.5000 0.7500  4 In 2.90
Hg3 0.5000 0.0000 0.2500  4 In 2.90
Hg4 0.5000 0.5000 0.0000  4 In 2.90
Se1 0.0000 0.0000 0.0000  4 In 2.83
Se2 0.0000 0.5000 0.2500  4 In 2.83
Se3 0.5000 0.0000 0.7500  4 In 2.83
Se4 0.5000 0.5000 0.5000  4 In 2.83

***

Record 2
The following is a DFT calculation (PBE) of BeZnRh after structural relaxation.

Size of the total moment (μB per formula unit): 0.0
Energy above the most stable polymorph in this dataset (meV per atom): 68
Calculated total energy (eV/atom): -4.519
Mass density (Mg/m³): 8.07
ΔE_f (eV/f.u.): -1.2

Cell: 2.8997 2.8997 8.6770 Å, 90.00 90.00 90.00°
With the nearest neighbours (Å) after each atom.
Positions (direct):
Be1 0.0000 0.0000 0.0000  4 Rh 2.31, 4 Zn 2.59
Be2 0.5000 0.5000 0.5000  4 Rh 2.31, 4 Zn 2.59
Zn1 0.0000 0.0000 0.3180  5 Be 2.59-2.76, 5 Rh 2.65
Zn2 0.5000 0.5000 0.8180  5 Be 2.59-2.76, 5 Rh 2.65
Rh1 0.0000 0.0000 0.6237  4 Be 2.31
Rh2 0.5000 0.5000 0.1237  4 Be 2.31

***

Record 3
The following is a DFT calculation (PBE) of Y2HoTl after structural relaxation.

Size of the total moment (μB per formula unit): 0.5
Energy above the most stable polymorph in this dataset (meV per atom): 18
Calculated total energy (eV/atom): -5.153
Mass density (Mg/m³): 7.53
ΔE_f (eV/f.u.): -0.7

Cell: 3.7003 12.9594 10.0699 Å, 90.00 90.00 90.00°
With the nearest neighbours (Å) after each atom.
Positions (direct):
Y1 0.0000 0.1295 0.0377  3 Tl 3.23-3.29, 1 Y 3.44, 2 Ho 3.61
Y2 0.0000 0.1295 0.4623  3 Tl 3.23-3.29, 1 Y 3.44, 2 Ho 3.61
Y3 0.0000 0.8705 0.5377  3 Tl 3.23-3.29, 1 Y 3.44, 2 Ho 3.61
Y4 0.0000 0.8705 0.9623  3 Tl 3.23-3.29, 1 Y 3.44, 2 Ho 3.61
Y5 0.5000 0.3705 0.5377  3 Tl 3.23-3.29, 1 Y 3.44, 2 Ho 3.61
Y6 0.5000 0.3705 0.9623  3 Tl 3.23-3.29, 1 Y 3.44, 2 Ho 3.61
Y7 0.5000 0.6295 0.0377  3 Tl 3.23-3.29, 1 Y 3.44, 2 Ho 3.61
Y8 0.5000 0.6295 0.4623  3 Tl 3.23-3.29, 1 Y 3.44, 2 Ho 3.61
Ho1 0.0000 0.4568 0.2500  2 Tl 3.26, 8 Y 3.61-3.62
Ho2 0.0000 0.5432 0.7500  2 Tl 3.26, 8 Y 3.61-3.62
Ho3 0.5000 0.0432 0.7500  2 Tl 3.26, 8 Y 3.61-3.62
Ho4 0.5000 0.9568 0.2500  2 Tl 3.26, 8 Y 3.61-3.62
Tl1 0.0000 0.2505 0.7500  6 Y 3.23-3.29, 2 Ho 3.26
Tl2 0.0000 0.7495 0.2500  6 Y 3.23-3.29, 2 Ho 3.26
Tl3 0.5000 0.2495 0.2500  6 Y 3.23-3.29, 2 Ho 3.26
Tl4 0.5000 0.7505 0.7500  6 Y 3.23-3.29, 2 Ho 3.26

***

Look up the size of the total moment of the first one. 0.0 μB per formula unit

***

Among the records above, which one has the lowest calculated total energy? Y2HoTl